(1)
{"formula": "Cd2NiTe", "functional": "GGA-PBE", "state": "optimized geometry", "lattice": [[1.584, 0.915, 10.064], [-1.584, 0.915, 10.064], [0.000, -1.830, 10.064]], "species": ["Cd", "Cd", "Ni", "Te"], "frac_coords": [[0.231, 0.231, 0.231], [0.769, 0.769, 0.769], [0.500, 0.500, 0.500], [0.000, 0.000, 0.000]], "total_magnetization_mub_per_cell": 0.000, "e_form_raw_mev_per_atom": 218, "density_g_cm3": 7.8}

---

(2)
{"formula": "HfTeSN2", "functional": "GGA-PBE", "state": "optimized geometry", "lattice": [[4.038, 0.000, 0.000], [0.000, 4.038, 0.000], [0.000, 0.000, 6.380]], "species": ["Hf", "Te", "S", "N", "N"], "frac_coords": [[0.000, 0.000, 0.000], [0.000, 0.000, 0.500], [0.500, 0.500, 0.500], [0.000, 0.500, 0.000], [0.500, 0.000, 0.000]], "total_magnetization_mub_per_cell": 0.000, "e_form_raw_mev_per_atom": 486, "density_g_cm3": 5.8}

---

(3)
{"formula": "AlZn2Pb", "functional": "GGA-PBE", "state": "optimized geometry", "lattice": [[-1.755, 2.655, 4.562], [1.755, -2.655, 4.562], [1.755, 2.655, -4.562]], "species": ["Al", "Zn", "Zn", "Pb"], "frac_coords": [[0.000, 0.000, 0.000], [0.225, 0.725, 0.500], [0.775, 0.275, 0.500], [0.500, 0.500, 0.000]], "total_magnetization_mub_per_cell": 0.000, "ef_ev_per_atom": 0.24, "density_g_cm3": 7.1}

---

(4)
{"formula": "LiBiP2O7", "functional": "GGA-PBE", "state": "optimized geometry", "lattice": [[6.359, 0.000, 0.000], [-2.814, 6.285, 0.000], [-0.142, -0.739, 6.870]], "species": ["Li", "Li", "Bi", "Bi", "P", "P", "P", "P", "O", "O", "O", "O", "O", "O", "O", "O", "O", "O", "O", "O", "O", "O"], "frac_coords": [[0.241, 0.404, 0.202], [0.759, 0.596, 0.798], [0.304, 0.763, 0.639], [0.696, 0.237, 0.361], [0.178, 0.838, 0.133], [0.233, 0.266, 0.636], [0.767, 0.734, 0.364], [0.822, 0.162, 0.867], [0.051, 0.137, 0.785], [0.102, 0.752, 0.917], [0.113, 0.318, 0.465], [0.220, 0.682, 0.253], [0.345, 0.112, 0.569], [0.368, 0.067, 0.154], [0.407, 0.480, 0.744], [0.593, 0.520, 0.256], [0.632, 0.933, 0.846], [0.655, 0.888, 0.431], [0.780, 0.318, 0.747], [0.887, 0.682, 0.535], [0.898, 0.248, 0.083], [0.949, 0.863, 0.215]], "total_magnetization_mub_per_cell": 0.000, "e_form_raw_mev_per_atom": -2078, "density_g_cm3": 4.7}

---

(5)
{"formula": "Ca4CdPd2", "functional": "GGA-PBE", "state": "optimized geometry", "lattice": [[2.622, -4.544, 0.000], [2.622, 4.544, 0.000], [0.000, 0.000, 15.684]], "species": ["Ca", "Ca", "Ca", "Ca", "Ca", "Ca", "Ca", "Ca", "Cd", "Cd", "Pd", "Pd", "Pd", "Pd"], "frac_coords": [[0.000, 0.000, 0.000], [0.000, 0.000, 0.500], [0.333, 0.667, 0.622], [0.333, 0.667, 0.878], [0.334, 0.666, 0.250], [0.666, 0.334, 0.750], [0.667, 0.333, 0.122], [0.667, 0.333, 0.378], [0.001, 0.999, 0.250], [0.999, 0.001, 0.750], [0.334, 0.666, 0.061], [0.334, 0.666, 0.439], [0.666, 0.334, 0.561], [0.666, 0.334, 0.939]], "total_magnetization_mub_per_cell": 0.000, "ef_ev_per_atom": -0.47, "density_g_cm3": 4.3}

---

(6)
{"formula": "Re3Os4", "functional": "GGA-PBE", "state": "optimized geometry", "lattice": [[5.025, 0.000, 0.000], [-2.512, 4.351, 0.000], [0.000, 0.000, 4.874]], "species": ["Re", "Re", "Re", "Os", "Os", "Os", "Os"], "frac_coords": [[0.000, 0.500, 0.000], [0.500, 0.000, 0.000], [0.500, 0.500, 0.000], [0.000, 0.000, 0.255], [0.000, 0.000, 0.745], [0.333, 0.667, 0.500], [0.667, 0.333, 0.500]], "total_magnetization_mub_per_cell": 0.000, "ef_ev_per_atom": 0.45, "density_g_cm3": 20.6}

---

(7)
{"formula": "MgCoAuI2", "functional": "GGA-PBE", "state": "optimized geometry", "lattice": [[5.695, 0.000, 0.000], [0.000, 5.695, 0.000], [0.000, 0.000, 5.079]], "species": ["Mg", "Co", "Au", "I", "I"], "frac_coords": [[0.000, 0.000, 0.000], [0.500, 0.500, 0.500], [0.000, 0.000, 0.500], [0.000, 0.500, 0.000], [0.500, 0.000, 0.000]], "total_magnetization_mub_per_cell": 2.470, "e_form_raw_mev_per_atom": 629, "density_g_cm3": 5.4}

---

(8)
{"formula": "LiMnP", "functional": "GGA-PBE", "state": "optimized geometry", "lattice": [[3.643, 0.000, 0.000], [0.000, 3.643, 0.000], [0.000, 0.000, 6.169]], "species": ["Li", "Li", "Mn", "Mn", "P", "P"], "frac_coords": [[0.250, 0.250, 0.149], [0.750, 0.750, 0.851], [0.250, 0.750, 0.500], [0.750, 0.250, 0.500], [0.250, 0.250, 0.727], [0.750, 0.750, 0.273]], "total_magnetization_mub_per_cell": 2.879, "ef_ev_per_atom": -0.62, "density_g_cm3": 3.8}

---

(9)
{"formula": "Rb2CaRu", "functional": "GGA-PBE", "state": "optimized geometry", "lattice": [[0.000, 4.287, 4.287], [4.287, 0.000, 4.287], [4.287, 4.287, 0.000]], "species": ["Rb", "Rb", "Ca", "Ru"], "frac_coords": [[0.250, 0.250, 0.250], [0.750, 0.750, 0.750], [0.000, 0.000, 0.000], [0.500, 0.500, 0.500]], "total_magnetization_mub_per_cell": 1.796, "ef_ev_per_atom": 1.22, "density_g_cm3": 3.3}

---

(10)
{"formula": "Ac2ZnIn4Pd3", "functional": "GGA-PBE", "state": "optimized geometry", "lattice": [[4.603, 0.000, 0.000], [0.000, 4.603, 0.000], [0.000, 0.000, 11.441]], "species": ["Ac", "Ac", "Zn", "In", "In", "In", "In", "Pd", "Pd", "Pd"], "frac_coords": [[0.000, 0.500, 0.247], [0.500, 0.000, 0.753], [0.500, 0.500, 0.000], [0.000, 0.000, 0.500], [0.000, 0.500, 0.873], [0.500, 0.000, 0.127], [0.500, 0.500, 0.500], [0.000, 0.000, 0.000], [0.000, 0.500, 0.637], [0.500, 0.000, 0.363]], "total_magnetization_mub_per_cell": 0.000, "ef_ev_per_atom": -0.59, "density_g_cm3": 8.9}

---

(11)
{"formula": "CaYHg2", "functional": "GGA-PBE", "state": "optimized geometry", "lattice": [[3.737, 0.000, 0.000], [0.000, 5.309, 0.000], [-0.001, 0.000, 5.308]], "species": ["Ca", "Y", "Hg", "Hg"], "frac_coords": [[0.000, 0.000, 0.000], [0.998, 0.500, 0.501], [0.499, 0.000, 0.500], [0.499, 0.500, 0.001]], "total_magnetization_mub_per_cell": 0.000, "ef_ev_per_atom": -0.55, "density_g_cm3": 8.4}

---

(12)
{"formula": "Sn3HgPb4", "functional": "GGA-PBE", "state": "optimized geometry", "lattice": [[3.552, 0.000, 0.000], [0.000, 3.552, 0.000], [0.000, 0.000, 18.686]], "species": ["Sn", "Sn", "Sn", "Hg", "Pb", "Pb", "Pb", "Pb"], "frac_coords": [[0.000, 0.000, 0.000], [0.000, 0.000, 0.254], [0.000, 0.000, 0.746], [0.000, 0.000, 0.500], [0.500, 0.500, 0.125], [0.500, 0.500, 0.379], [0.500, 0.500, 0.621], [0.500, 0.500, 0.875]], "total_magnetization_mub_per_cell": 0.000, "ef_ev_per_atom": 0.03, "density_g_cm3": 9.8}

---

(13)
{"formula": "La2NdSiN", "functional": "GGA-PBE", "state": "optimized geometry", "lattice": [[1.977, -8.402, 0.000], [1.977, 8.402, 0.000], [0.000, 0.000, 7.628]], "species": ["La", "La", "La", "La", "Nd", "Nd", "Si", "Si", "N", "N"], "frac_coords": [[0.146, 0.854, 0.525], [0.146, 0.854, 0.975], [0.854, 0.146, 0.025], [0.854, 0.146, 0.475], [0.491, 0.509, 0.750], [0.509, 0.491, 0.250], [0.313, 0.687, 0.750], [0.687, 0.313, 0.250], [0.000, 0.000, 0.000], [0.000, 0.000, 0.500]], "total_magnetization_mub_per_cell": 0.000, "e_form_raw_mev_per_atom": -694, "density_g_cm3": 6.1}

---

(14)
{"formula": "La7Au2N2", "functional": "GGA-PBE", "state": "optimized geometry", "lattice": [[5.921, -3.752, 0.000], [5.921, 3.752, 0.000], [-0.282, 0.000, 6.593]], "species": ["La", "La", "La", "La", "La", "La", "La", "Au", "Au", "N", "N"], "frac_coords": [[0.000, 0.000, 0.000], [0.053, 0.509, 0.760], [0.430, 0.430, 0.218], [0.491, 0.947, 0.240], [0.509, 0.053, 0.760], [0.570, 0.570, 0.782], [0.947, 0.491, 0.240], [0.184, 0.816, 0.500], [0.816, 0.184, 0.500], [0.224, 0.224, 0.030], [0.776, 0.776, 0.970]], "total_magnetization_mub_per_cell": 0.000, "e_form_raw_mev_per_atom": -639, "density_g_cm3": 7.9}

---

(15)
{"formula": "V2Ga2Pb", "functional": "GGA-PBE", "state": "optimized geometry", "lattice": [[7.050, 0.000, 0.000], [0.000, 7.050, 0.000], [0.000, 0.000, 3.509]], "species": ["V", "V", "V", "V", "Ga", "Ga", "Ga", "Ga", "Pb", "Pb"], "frac_coords": [[0.119, 0.381, 0.000], [0.381, 0.881, 0.000], [0.619, 0.119, 0.000], [0.881, 0.619, 0.000], [0.170, 0.670, 0.500], [0.330, 0.170, 0.500], [0.670, 0.830, 0.500], [0.830, 0.330, 0.500], [0.000, 0.000, 0.000], [0.500, 0.500, 0.000]], "total_magnetization_mub_per_cell": 0.000, "ef_ev_per_atom": 0.15, "density_g_cm3": 8.5}

---

(16)
{"formula": "Na6InHg5", "functional": "GGA-PBE", "state": "optimized geometry", "lattice": [[5.502, 0.000, 0.000], [-0.005, 7.225, 0.000], [-2.032, -3.612, 7.876]], "species": ["Na", "Na", "Na", "Na", "Na", "Na", "In", "Hg", "Hg", "Hg", "Hg", "Hg"], "frac_coords": [[0.001, 0.255, 0.002], [0.262, 0.083, 0.660], [0.263, 0.576, 0.658], [0.737, 0.424, 0.342], [0.738, 0.917, 0.340], [0.999, 0.745, 0.998], [0.500, 0.000, 0.000], [0.250, 0.666, 0.328], [0.251, 0.158, 0.320], [0.500, 0.500, 0.000], [0.749, 0.842, 0.680], [0.750, 0.334, 0.672]], "total_magnetization_mub_per_cell": 0.000, "ef_ev_per_atom": -0.21, "density_g_cm3": 6.7}

---

(17)
{"formula": "LaHg2Pt2", "functional": "GGA-PBE", "state": "optimized geometry", "lattice": [[8.106, 0.000, 0.000], [0.000, 8.106, 0.000], [0.000, 0.000, 3.262]], "species": ["La", "La", "Hg", "Hg", "Hg", "Hg", "Pt", "Pt", "Pt", "Pt"], "frac_coords": [[0.000, 0.000, 0.000], [0.500, 0.500, 0.000], [0.122, 0.378, 0.000], [0.378, 0.878, 0.000], [0.622, 0.122, 0.000], [0.878, 0.622, 0.000], [0.180, 0.680, 0.500], [0.320, 0.180, 0.500], [0.680, 0.820, 0.500], [0.820, 0.320, 0.500]], "total_magnetization_mub_per_cell": 0.000, "ef_ev_per_atom": -0.31, "density_g_cm3": 14.4}

---

(18)
{"formula": "ZrCrAgS4", "functional": "GGA-PBE", "state": "optimized geometry", "lattice": [[6.180, 0.000, 0.000], [0.000, 3.596, 0.000], [-0.393, 0.000, 12.780]], "species": ["Zr", "Zr", "Cr", "Cr", "Ag", "Ag", "S", "S", "S", "S", "S", "S", "S", "S"], "frac_coords": [[0.248, 0.250, 0.498], [0.752, 0.750, 0.502], [0.266, 0.250, 0.008], [0.734, 0.750, 0.992], [0.232, 0.250, 0.767], [0.768, 0.750, 0.233], [0.077, 0.750, 0.378], [0.082, 0.750, 0.907], [0.424, 0.750, 0.620], [0.426, 0.750, 0.105], [0.574, 0.250, 0.895], [0.576, 0.250, 0.380], [0.918, 0.250, 0.093], [0.923, 0.250, 0.622]], "total_magnetization_mub_per_cell": 5.465, "e_form_raw_mev_per_atom": -874, "density_g_cm3": 4.4}

---

(19)
{"formula": "Cs2KCaF", "functional": "GGA-PBE", "state": "optimized geometry", "lattice": [[9.005, 0.000, 0.000], [0.000, 9.005, 0.000], [0.000, 0.000, 4.371]], "species": ["Cs", "Cs", "K", "Ca", "F"], "frac_coords": [[0.000, 0.500, 0.000], [0.500, 0.000, 0.000], [0.000, 0.000, 0.500], [0.500, 0.500, 0.000], [0.500, 0.500, 0.500]], "total_magnetization_mub_per_cell": 0.000, "e_form_raw_mev_per_atom": -909, "density_g_cm3": 1.7}

---

(20)
{"formula": "SrTcPt4", "functional": "GGA-PBE", "state": "optimized geometry", "lattice": [[0.000, 3.833, 3.833], [3.833, 0.000, 3.833], [3.833, 3.833, 0.000]], "species": ["Sr", "Tc", "Pt", "Pt", "Pt", "Pt"], "frac_coords": [[0.000, 0.000, 0.000], [0.750, 0.750, 0.750], [0.375, 0.375, 0.375], [0.375, 0.375, 0.874], [0.375, 0.874, 0.375], [0.874, 0.375, 0.375]], "total_magnetization_mub_per_cell": 3.886, "ef_ev_per_atom": -0.11, "density_g_cm3": 14.2}